[1]
# LiPm2SnO6 PBE optimized geometry
data_LiPm2SnO6
_cell_length_a 5.560
_cell_length_b 5.900
_cell_length_c 7.950
_cell_angle_alpha 90.00
_cell_angle_beta 87.58
_cell_angle_gamma 90.00
_symmetry_space_group_name_H-M 'P 1'
_symmetry_Int_Tables_number 1
_symmetry_space_group_name_Hall 'P 1'
loop_
_atom_site_label
_atom_site_type_symbol
_atom_site_fract_x
_atom_site_fract_y
_atom_site_fract_z
Li1 Li 0.500 0.000 0.000
Li2 Li 0.000 0.500 0.500
Pm1 Pm 0.026 0.928 0.255
Pm2 Pm 0.526 0.572 0.755
Pm3 Pm 0.974 0.072 0.745
Pm4 Pm 0.474 0.428 0.245
Sn1 Sn 0.500 0.000 0.500
Sn2 Sn 0.000 0.500 0.000
O1 O 0.302 0.687 0.057
O2 O 0.802 0.813 0.557
O3 O 0.698 0.313 0.943
O4 O 0.198 0.187 0.443
O5 O 0.314 0.705 0.432
O6 O 0.814 0.795 0.932
O7 O 0.686 0.295 0.568
O8 O 0.186 0.205 0.068
O9 O 0.875 0.548 0.246
O10 O 0.375 0.952 0.746
O11 O 0.125 0.452 0.754
O12 O 0.625 0.048 0.254
# Uncorrected formation energy = -2.420 eV/atom
# Theoretical density = 6522 kg/m³
# Fermi-level density of states = 0.769 states/eV/atom
# DFT total energy = -138.74 eV per cell
# Space-group type = No. 14

---

[2]
# Sr2CuRh PBE optimized geometry
data_Sr2CuRh
_cell_length_a 4.382
_cell_length_b 4.454
_cell_length_c 6.017
_cell_angle_alpha 68.23
_cell_angle_beta 90.00
_cell_angle_gamma 90.00
_symmetry_space_group_name_H-M 'P 1'
_symmetry_Int_Tables_number 1
_symmetry_space_group_name_Hall 'P 1'
loop_
_atom_site_label
_atom_site_type_symbol
_atom_site_fract_x
_atom_site_fract_y
_atom_site_fract_z
Sr1 Sr 0.000 0.985 0.906
Sr2 Sr 0.500 0.266 0.343
Rh1 Rh 0.500 0.571 0.734
Cu1 Cu 0.000 0.678 0.517
# Theoretical density = 5202 kg/m³
# Fermi-level density of states = 0.387 states/eV/atom
# DFT total energy = -15.62 eV per cell
# Space-group type = No. 38
# Formation energy = -203 meV per atom

---

[3]
# TiMnZnIr PBE optimized geometry
data_TiMnZnIr
_cell_length_a 4.304
_cell_length_b 4.304
_cell_length_c 4.304
_cell_angle_alpha 60.00
_cell_angle_beta 60.00
_cell_angle_gamma 60.00
_symmetry_space_group_name_H-M 'P 1'
_symmetry_Int_Tables_number 1
_symmetry_space_group_name_Hall 'P 1'
loop_
_atom_site_label
_atom_site_type_symbol
_atom_site_fract_x
_atom_site_fract_y
_atom_site_fract_z
Zn1 Zn 0.750 0.750 0.750
Ir1 Ir 0.500 0.500 0.500
Mn1 Mn 0.000 0.000 0.000
Ti1 Ti 0.250 0.250 0.250
# Theoretical density = 10613 kg/m³
# Fermi-level density of states = 1.119 states/eV/atom
# DFT total energy = -28.74 eV per cell
# Space-group type = No. 216
# Formation energy = -385 meV per atom

---

[4]
# Li2Tb2DySi2 PBE optimized geometry
data_Li2Tb2DySi2
_cell_length_a 4.416
_cell_length_b 4.416
_cell_length_c 9.296
_cell_angle_alpha 76.26
_cell_angle_beta 76.26
_cell_angle_gamma 60.00
_symmetry_space_group_name_H-M 'P 1'
_symmetry_Int_Tables_number 1
_symmetry_space_group_name_Hall 'P 1'
loop_
_atom_site_label
_atom_site_type_symbol
_atom_site_fract_x
_atom_site_fract_y
_atom_site_fract_z
Li1 Li 0.604 0.604 0.189
Li2 Li 0.396 0.396 0.811
Tb1 Tb 0.126 0.126 0.622
Tb2 Tb 0.874 0.874 0.378
Dy1 Dy 0.000 0.000 0.000
Si1 Si 0.735 0.735 0.796
Si2 Si 0.265 0.265 0.204
# Uncorrected formation energy = -0.395 eV/atom
# Theoretical density = 6053 kg/m³
# Fermi-level density of states = 0.407 states/eV/atom
# DFT total energy = -31.30 eV per cell
# Space-group type = No. 166

---

[5]
# La2HoGe3Pt4 PBE optimized geometry
data_La2HoGe3Pt4
_cell_length_a 4.383
_cell_length_b 4.383
_cell_length_c 11.040
_cell_angle_alpha 90.00
_cell_angle_beta 90.00
_cell_angle_gamma 90.00
_symmetry_space_group_name_H-M 'P 1'
_symmetry_Int_Tables_number 1
_symmetry_space_group_name_Hall 'P 1'
loop_
_atom_site_label
_atom_site_type_symbol
_atom_site_fract_x
_atom_site_fract_y
_atom_site_fract_z
La1 La 0.500 0.000 0.226
La2 La 0.000 0.500 0.774
Ho1 Ho 0.500 0.500 0.500
Ge1 Ge 0.000 0.000 0.500
Ge2 Ge 0.500 0.000 0.880
Ge3 Ge 0.000 0.500 0.120
Pt1 Pt 0.500 0.500 0.000
Pt2 Pt 0.000 0.000 0.000
Pt3 Pt 0.500 0.000 0.654
Pt4 Pt 0.000 0.500 0.346
# Theoretical density = 11284 kg/m³
# Fermi-level density of states = 0.698 states/eV/atom
# DFT total energy = -62.54 eV per cell
# Space-group type = No. 115
# Formation energy = -1009 meV per atom

---

[6]
# Ba2TbP3Pt12 PBE optimized geometry
data_Ba2TbP3Pt12
_cell_length_a 7.949
_cell_length_b 7.949
_cell_length_c 7.949
_cell_angle_alpha 64.11
_cell_angle_beta 64.11
_cell_angle_gamma 64.11
_symmetry_space_group_name_H-M 'P 1'
_symmetry_Int_Tables_number 1
_symmetry_space_group_name_Hall 'P 1'
loop_
_atom_site_label
_atom_site_type_symbol
_atom_site_fract_x
_atom_site_fract_y
_atom_site_fract_z
Ba1 Ba 0.603 0.603 0.603
Ba2 Ba 0.397 0.397 0.397
Tb1 Tb 0.000 0.000 0.000
P1 P 0.500 0.000 0.000
P2 P 0.000 0.500 0.000
P3 P 0.000 0.000 0.500
Pt1 Pt 0.330 0.330 0.908
Pt2 Pt 0.871 0.871 0.394
Pt3 Pt 0.394 0.871 0.871
Pt4 Pt 0.908 0.330 0.330
Pt5 Pt 0.871 0.394 0.871
Pt6 Pt 0.330 0.908 0.330
Pt7 Pt 0.670 0.670 0.092
Pt8 Pt 0.129 0.129 0.606
Pt9 Pt 0.606 0.129 0.129
Pt10 Pt 0.092 0.670 0.670
Pt11 Pt 0.129 0.606 0.129
Pt12 Pt 0.670 0.092 0.670
# Theoretical density = 12295 kg/m³
# Fermi-level density of states = 0.278 states/eV/atom
# DFT total energy = -104.06 eV per cell
# Space-group type = No. 166
# Formation energy = -382 meV per atom

---

What is the theoretical density in the second record? 5202 kg/m³